The following is a DFT calculation (PBE) of an optimized crystal structure of Nd2Y8In.

Calculated values
E_form: 0.59 eV per formula unit
SG: C2/m (12)

a b c (Å): 6.896 9.838 9.838
angles (deg): 39.64 59.37 59.37
Atoms (fractional coordinates):
Y (0.736, 0.598, 0.598)
Y (0.776, 0.665, 0.182)
Y (0.182, 0.757, 0.757)
Y (0.818, 0.243, 0.243)
Y (0.264, 0.402, 0.402)
Y (0.224, 0.335, 0.818)
Y (0.776, 0.182, 0.665)
Nd (0.575, 0.820, 0.820)
Y (0.224, 0.818, 0.335)
Nd (0.425, 0.180, 0.180)
In (0.000, 0.000, 0.000)



The following is a DFT calculation (PBE) of an optimized crystal structure of LiU2Ga8.

Calculated values
E_form: -2.15 eV per formula unit
SG: P4/mmm (123)

a b c (Å): 4.315 4.315 11.154
angles (deg): 90.00 90.00 90.00
Atoms (fractional coordinates):
Ga (0.500, 0.000, 0.500)
Li (0.000, 0.000, 0.000)
Ga (0.000, 0.500, 0.500)
U (0.000, 0.000, 0.689)
Ga (0.500, 0.000, 0.875)
Ga (0.500, 0.500, 0.309)
Ga (0.000, 0.500, 0.125)
Ga (0.500, 0.000, 0.125)
Ga (0.500, 0.500, 0.691)
Ga (0.000, 0.500, 0.875)
U (0.000, 0.000, 0.311)



The following is a DFT calculation (PBE) of an optimized crystal structure of TlHgAs3.

Calculated values
E_form: 4.13 eV per formula unit
SG: Pm-3m (221)

a b c (Å): 5.311 5.311 5.311
angles (deg): 90.00 90.00 90.00
Atoms (fractional coordinates):
Tl (0.500, 0.500, 0.500)
As (0.000, 0.500, 0.000)
As (0.000, 0.000, 0.500)
Hg (0.000, 0.000, 0.000)
As (0.500, 0.000, 0.000)